(1)
YRuPb2 | PBE-GGA | optimized geometry

Computed properties:
As for the formation energy: 0.025 eV per atom.

Lattice parameters (Å, degrees): 6.7574 6.7574 4.7389 69.46 69.46 29.14
Positions (direct):
Pb (0.0008, 0.0008, 0.9993)
Pb (0.1973, 0.1973, 0.3024)
Ru (0.4970, 0.4970, 0.5034)
Y (0.8049, 0.8049, 0.6949)

***

(2)
LiTaGeRuI | PBE-GGA | optimized geometry

Computed properties:
The excess energy over the best structure of this formula in the dataset comes out at 225.2 meV/atom. The uncorrected formation energy comes out at 0.010 eV/atom.

Lattice parameters (Å, degrees): 3.5470 3.5549 9.0888 100.56 99.23 97.34
Positions (direct):
Li (0.1595, 0.5387, 0.7861)
Ta (0.5413, 0.9485, 0.5800)
Ge (0.3987, 0.7822, 0.2792)
Ru (0.0767, 0.2809, 0.4498)
I (0.7260, 0.1023, 0.9153)

***

(3)
AgMo2As | PBE-GGA | optimized geometry

Computed properties:
As for the formation energy: 0.265 eV per atom.

Lattice parameters (Å, degrees): 3.2868 3.2868 6.2769 90.00 90.00 90.00
Positions (direct):
Mo (0.0000, 0.0000, 0.0110)
Mo (0.5000, 0.5000, 0.2164)
As (0.5000, 0.5000, 0.7718)
Ag (0.0000, 0.0000, 0.5009)

***

(4)
Sc3TlO | PBE-GGA | optimized geometry

Computed properties:
The uncorrected formation energy comes out at -1.248 eV/atom.

Lattice parameters (Å, degrees): 11.7762 8.2677 8.2677 79.82 124.19 55.81
Positions (direct):
Sc (0.4086, 0.4098, 0.4557)
Sc (0.0914, 0.9557, 0.9098)
Sc (0.5914, 0.5902, 0.5443)
Sc (0.9086, 0.0443, 0.0902)
Sc (0.0919, 0.2143, 0.1694)
Sc (0.4081, 0.6694, 0.7143)
Sc (0.9081, 0.7857, 0.8306)
Sc (0.5919, 0.3306, 0.2857)
Sc (0.5755, 0.8632, 0.7789)
Sc (0.9245, 0.2789, 0.3632)
Sc (0.4245, 0.1368, 0.2211)
Sc (0.0755, 0.7211, 0.6368)
Tl (0.0562, 0.5292, 0.3300)
Tl (0.4438, 0.8300, 0.0292)
Tl (0.9438, 0.4708, 0.6700)
Tl (0.5562, 0.1700, 0.9708)
O (0.7500, 0.1891, 0.6891)
O (0.2500, 0.8109, 0.3109)
O (0.7500, 0.4434, 0.9434)
O (0.2500, 0.5566, 0.0566)

***

(5)
LiMnInSi2 | PBE-GGA | optimized geometry

Computed properties:
The uncorrected formation energy comes out at 1.097 eV/atom.

Lattice parameters (Å, degrees): 5.1743 5.0829 5.1743 90.00 90.00 90.00
Positions (direct):
Si (0.0000, 0.0000, 0.5000)
Si (0.5000, 0.0000, 0.0000)
Mn (0.0000, 0.5000, 0.0000)
Li (0.5000, 0.5000, 0.5000)
In (0.0000, 0.0000, 0.0000)

***

(6)
BaPPb2 | PBE-GGA | optimized geometry

Computed properties:
As for the formation energy: -0.194 eV per atom.

Lattice parameters (Å, degrees): 6.7039 6.7039 6.7039 139.79 139.79 58.17
Positions (direct):
Ba (0.2500, 0.7500, 0.5000)
P (0.7500, 0.2500, 0.5000)
Pb (0.0000, 0.0000, 0.0000)
Pb (0.5000, 0.5000, 0.0000)

***

(7)
TcAsF2 | PBE-GGA | optimized geometry

Computed properties:
The excess energy over the best structure of this formula in the dataset comes out at 0.0 meV/atom. The uncorrected formation energy comes out at -0.739 eV/atom.

Lattice parameters (Å, degrees): 9.5293 9.5293 9.5293 16.46 16.46 16.46
Positions (direct):
As (0.5000, 0.5000, 0.5000)
Tc (0.0000, 0.0000, 0.0000)
F (0.9325, 0.9325, 0.9325)
F (0.0675, 0.0675, 0.0675)

***

(8)
SrLaGaPb | PBE-GGA | optimized geometry

Computed properties:
As for the formation energy: -0.455 eV per atom.

Lattice parameters (Å, degrees): 5.6001 5.6001 5.6001 60.00 60.00 60.00
Positions (direct):
Pb (0.7500, 0.7500, 0.7500)
Sr (0.5000, 0.5000, 0.5000)
Ga (0.2500, 0.2500, 0.2500)
La (0.0000, 0.0000, 0.0000)

***

(9)
Nd3SmTh2N6 | PBE-GGA | optimized geometry

Computed properties:
The uncorrected formation energy comes out at -1.510 eV/atom.

Lattice parameters (Å, degrees): 6.3179 6.3179 6.3113 99.59 99.59 120.00
Positions (direct):
Nd (0.1651, 0.8349, 0.5000)
Nd (0.8349, 0.1651, 0.5000)
Nd (0.5000, 0.5000, 0.5000)
Sm (0.0000, 0.0000, 0.0000)
Th (0.3330, 0.6670, 0.0000)
Th (0.6670, 0.3330, 0.0000)
N (0.9207, 0.5820, 0.7620)
N (0.7407, 0.7407, 0.2388)
N (0.0793, 0.4180, 0.2380)
N (0.5820, 0.9207, 0.7620)
N (0.2593, 0.2593, 0.7612)
N (0.4180, 0.0793, 0.2380)

***

(10)
LiMnRe2 | PBE-GGA | optimized geometry

Computed properties:
The excess energy over the best structure of this formula in the dataset comes out at 597.6 meV/atom. As for the formation energy: 0.774 eV per atom.

Lattice parameters (Å, degrees): 6.8504 6.8504 5.4656 51.19 51.19 90.00
Positions (direct):
Re (0.6697, 0.1250, 0.2500)
Re (0.0803, 0.6250, 0.2500)
Re (0.3750, 0.3303, 0.7500)
Re (0.8750, 0.9197, 0.7500)
Mn (0.0000, 0.0000, 0.0000)
Mn (0.7500, 0.2500, 0.5000)
Li (0.5000, 0.5000, 0.0000)
Li (0.2500, 0.7500, 0.5000)

***

(11)
K3ReH7 | PBE-GGA | optimized geometry

Lattice parameters (Å, degrees): 6.1731 6.1731 5.9899 58.34 58.34 88.79
Positions (direct):
K (0.7099, 0.2126, 0.5427)
K (0.4519, 0.4519, 0.0648)
K (0.2126, 0.7099, 0.5427)
Re (0.9631, 0.9631, 0.0411)
H (0.2001, 0.2001, 0.9610)
H (0.7162, 0.1054, 0.1555)
H (0.0162, 0.2455, 0.6973)
H (0.1054, 0.7162, 0.1555)
H (0.6927, 0.6927, 0.4399)
H (0.2455, 0.0162, 0.6973)
H (0.8113, 0.8113, 0.9522)

***

(12)
Sm6In6Sn | PBE-GGA | optimized geometry

Computed properties:
As for the formation energy: -0.347 eV per atom.

Lattice parameters (Å, degrees): 6.4588 6.4588 10.6945 90.00 90.00 120.00
Positions (direct):
Sm (0.0000, 0.0000, 0.7013)
Sm (0.0000, 0.0000, 0.2987)
Sm (0.3334, 0.6666, 0.0000)
Sm (0.6666, 0.3334, 0.0000)
Sm (0.3333, 0.6667, 0.5000)
Sm (0.6667, 0.3333, 0.5000)
In (0.0000, 0.5000, 0.7471)
In (0.5000, 0.0000, 0.7471)
In (0.5000, 0.5000, 0.7471)
In (0.5000, 0.0000, 0.2529)
In (0.0000, 0.5000, 0.2529)
In (0.5000, 0.5000, 0.2529)
Sn (0.0000, 0.0000, 0.0000)

***

no.,mass density (g cm⁻³),total magnetic moment (μB per cell),total energy (Ry per atom)
1,10.22,0.0,-0.42366
2,7.39,0.0,-0.42866
3,9.18,0.0,-0.51639
4,6.17,0.0,-0.47863
5,2.84,3.9,-0.28196
6,7.78,0.0,-0.28526
7,5.78,0.5,-0.39902
8,6.73,0.0,-0.27868
9,9.13,0.0,-0.62430
10,12.14,0.0,-0.60419
11,3.33,1.0,-0.27448
12,7.35,0.0,-0.30115